# 1
Below is a relaxed structure of Ho3BeSe6, with properties calculated at the PBE-GGA level.

```
Ho3BeSe6
1.0
5.694 -7.052 0.000
5.694 7.052 0.000
0.000 0.000 6.264
Ho Be Se
6 2 12
direct
0.125 0.875 0.500
0.221 0.436 0.577
0.436 0.221 0.077
0.564 0.779 0.577
0.779 0.564 0.077
0.875 0.125 0.000
0.302 0.698 0.138
0.698 0.302 0.638
0.076 0.597 0.281
0.145 0.174 0.297
0.174 0.145 0.797
0.282 0.718 0.787
0.403 0.924 0.281
0.453 0.547 0.258
0.547 0.453 0.758
0.597 0.076 0.781
0.718 0.282 0.287
0.826 0.855 0.297
0.855 0.826 0.797
0.924 0.403 0.781
```

Summary:
* DOS(E_F): 0.165 states/eV per atom
* crystal system: orthorhombic
* volume: 25.15 Å³/atom
* ΔE_f (raw): -1481 meV per atom
* symmetry: Cmc2_1 (36)

---

# 2
Below is a relaxed structure of ScReHg2, with properties calculated at the PBE-GGA level.

```
ScReHg2
1.0
2.978 0.000 0.000
0.000 2.978 0.000
0.000 0.000 8.593
Sc Re Hg
1 1 2
direct
0.000 0.000 0.000
0.000 0.000 0.500
0.500 0.500 0.255
0.500 0.500 0.745
```

Summary:
* ΔH_f (0 K): 0.4190 eV/atom
* excess energy over the best structure of this formula in the dataset: 0.167 eV/atom
* DOS(E_F): 0.955 states/eV per atom
* crystal system: tetragonal
* volume: 19.05 Å³/atom
* symmetry: P4/mmm (123)

---

# 3
Below is a relaxed structure of Tb2Pm2Ge3, with properties calculated at the PBE-GGA level.

```
Tb2Pm2Ge3
1.0
6.742 -2.089 0.000
6.742 2.089 0.000
-1.497 0.000 7.499
Tb Pm Ge
2 2 3
direct
0.131 0.131 0.400
0.869 0.869 0.600
0.367 0.367 0.141
0.633 0.633 0.859
0.265 0.265 0.762
0.500 0.500 0.500
0.735 0.735 0.238
```

Summary:
* ΔH_f (0 K): -0.6086 eV/atom
* DOS(E_F): 0.527 states/eV per atom
* crystal system: monoclinic
* volume: 30.18 Å³/atom
* symmetry: C2/m (12)

---

# 4
Below is a relaxed structure of LiThH6Pt2, with properties calculated at the PBE-GGA level.

```
LiThH6Pt2
1.0
2.259 1.304 5.277
-2.259 1.304 5.277
0.000 -2.609 5.277
Li Th H Pt
1 1 6 2
direct
0.000 0.000 0.000
0.500 0.500 0.500
0.051 0.051 0.598
0.051 0.598 0.051
0.402 0.949 0.949
0.598 0.051 0.051
0.949 0.402 0.949
0.949 0.949 0.402
0.291 0.291 0.291
0.709 0.709 0.709
```

Summary:
* total DFT energy (no corrections): -4.605 eV/atom
* DOS(E_F): 0.199 states/eV per atom
* crystal system: trigonal
* volume: 9.33 Å³/atom
* symmetry: R-3m (166)

---

# 5
Below is a relaxed structure of CeThTlZn, with properties calculated at the PBE-GGA level.

```
CeThTlZn
1.0
3.423 0.000 0.000
0.000 3.423 0.000
0.000 0.000 8.984
Ce Th Tl Zn
1 1 1 1
direct
0.000 0.000 0.000
0.000 0.000 0.456
0.500 0.500 0.732
0.500 0.500 0.226
```

Summary:
* ΔH_f (0 K): -0.1691 eV/atom
* excess energy over the best structure of this formula in the dataset: 0.000 eV/atom
* DOS(E_F): 1.955 states/eV per atom
* crystal system: tetragonal
* volume: 26.31 Å³/atom
* symmetry: P4mm (99)

---

# 6
Below is a relaxed structure of Zr2NiHg, with properties calculated at the PBE-GGA level.

```
Zr2NiHg
1.0
3.387 0.000 0.000
0.000 4.262 0.000
-1.684 0.000 5.484
Zr Ni Hg
2 1 1
direct
0.000 0.000 0.000
0.321 0.500 0.644
0.757 0.000 0.520
0.600 0.500 0.200
```

Summary:
* ΔH_f (0 K): -0.1550 eV/atom
* DOS(E_F): 1.375 states/eV per atom
* crystal system: monoclinic
* volume: 19.79 Å³/atom
* symmetry: Pm (6)